First-principles (PBE+U) data for a relaxed CrCdGaF2 crystal, as listed in Alexandria via LeMat-Bulk.

- SG: P4/mmm (123)
- Calculated total energy: -19.6 eV/f.u.
- ρ: 4609 kg/m³

a = 4.126 Å, b = 5.759 Å, c = 4.126 Å
α = 90.00°, β = 90.00°, γ = 90.00°
Site moments in Bohr magnetons follow the coordinates.
Positions (direct):
1 Cr 0.000 0.500 0.000  4.32
2 F 0.000 0.000 0.500  0.03
3 F 0.500 0.000 0.000  0.03
4 Ga 0.000 0.000 0.000  0.01
5 Cd 0.500 0.500 0.500  0.01

First-principles (PBE+U) data for a relaxed CrCdInF6 crystal, as listed in Alexandria via LeMat-Bulk.

- SG: P-31c (163)
- Calculated total energy: -42.7 eV/f.u.
- ρ: 4734 kg/m³

a = 5.936 Å, b = 5.936 Å, c = 9.039 Å
α = 90.00°, β = 90.00°, γ = 120.00°
Site moments in Bohr magnetons follow the coordinates.
Positions (direct):
1 Cr 0.333 0.667 0.250  2.94
2 Cr 0.667 0.333 0.750  2.94
3 Cd 0.000 0.000 0.000  0.00
4 Cd 0.000 0.000 0.500  0.00
5 In 0.667 0.333 0.250  -0.02
6 In 0.333 0.667 0.750  -0.02
7 F 0.622 0.709 0.123  0.00
8 F 0.087 0.378 0.123  0.00
9 F 0.378 0.087 0.623  0.00
10 F 0.913 0.622 0.877  0.00
11 F 0.291 0.378 0.377  0.00
12 F 0.087 0.709 0.377  0.00
13 F 0.709 0.087 0.877  0.00
14 F 0.622 0.913 0.377  0.00
15 F 0.913 0.291 0.623  0.00
16 F 0.291 0.913 0.123  0.00
17 F 0.709 0.622 0.623  0.00
18 F 0.378 0.291 0.877  0.00